(1)
DFT (meta-GGA SCAN) results for a PBEsol-optimized structure of BeHg2Pt.

Cell lengths 3.933, 3.933, 8.429 Å; angles 90.00, 90.00, 90.00 degrees
Space group I-4m2 (No. 119)
Unique sites:
Be 0.000 0.000 0.000 (multiplicity 2)
Hg 0.000 0.000 0.500 (multiplicity 2)
Hg 0.000 0.500 0.250 (multiplicity 2)
Pt 0.000 0.500 0.750 (multiplicity 2)

Calculated values
The calculation puts the energy of formation at 211 meV/atom. The total energy is -52.509 eV/atom.

(2)
DFT (meta-GGA SCAN) results for a PBEsol-optimized structure of BeHgPt.

Cell lengths 2.815, 3.280, 9.670 Å; angles 90.00, 90.00, 90.00 degrees
Space group Imm2 (No. 44)
Unique sites:
Be 0.000 0.000 0.000 (multiplicity 2)
Hg 0.000 0.000 0.297 (multiplicity 2)
Pt 0.000 0.000 0.587 (multiplicity 2)

Calculated values
The calculation puts the energy of formation at -278 meV/atom. The total energy is -47.849 eV/atom.

(3)
DFT (meta-GGA SCAN) results for a PBEsol-optimized structure of BeHgPt.

Cell lengths 6.005, 6.005, 6.005 Å; angles 90.00, 90.00, 90.00 degrees
Space group F-43m (No. 216)
Unique sites:
Be 0.000 0.000 0.000 (multiplicity 4)
Hg 0.250 0.250 0.250 (multiplicity 4)
Pt 0.000 0.000 0.500 (multiplicity 4)

Calculated values
The calculation puts the energy of formation at 471 meV/atom. The total energy is -47.100 eV/atom.

(4)
DFT (meta-GGA SCAN) results for a PBEsol-optimized structure of BeHg2Pt.

Cell lengths 3.532, 4.227, 8.674 Å; angles 90.00, 90.00, 90.00 degrees
Space group Immm (No. 71)
Unique sites:
Be 0.000 0.000 0.000 (multiplicity 2)
Hg 0.000 0.500 0.283 (multiplicity 4)
Pt 0.000 0.000 0.500 (multiplicity 2)

Calculated values
The calculation puts the energy of formation at 195 meV/atom. The total energy is -52.525 eV/atom.

(5)
DFT (meta-GGA SCAN) results for a PBEsol-optimized structure of BeHgPt2.

Cell lengths 2.821, 2.821, 7.160 Å; angles 90.00, 90.00, 90.00 degrees
Space group P4/mmm (No. 123)
Unique sites:
Be 0.000 0.000 0.000 (multiplicity 1)
Hg 0.000 0.000 0.500 (multiplicity 1)
Pt 0.500 0.500 0.195 (multiplicity 2)

Calculated values
The calculation puts the energy of formation at -450 meV/atom. The total energy is -53.676 eV/atom.

(6)
DFT (meta-GGA SCAN) results for a PBEsol-optimized structure of Be3HgPt.

Cell lengths 4.274, 4.274, 4.274 Å; angles 90.00, 90.00, 90.00 degrees
Space group Pm-3m (No. 221)
Unique sites:
Be 0.000 0.000 0.500 (multiplicity 3)
Hg 0.000 0.000 0.000 (multiplicity 1)
Pt 0.500 0.500 0.500 (multiplicity 1)

Calculated values
The calculation puts the energy of formation at 931 meV/atom. The total energy is -29.353 eV/atom.

(7)
DFT (meta-GGA SCAN) results for a PBEsol-optimized structure of BeHg2Pt.

Cell lengths 6.407, 6.407, 6.407 Å; angles 90.00, 90.00, 90.00 degrees
Space group F-43m (No. 216)
Unique sites:
Be 0.000 0.000 0.000 (multiplicity 4)
Hg 0.000 0.000 0.500 (multiplicity 4)
Hg 0.250 0.250 0.250 (multiplicity 4)
Pt 0.250 0.250 0.750 (multiplicity 4)

Calculated values
The calculation puts the energy of formation at 289 meV/atom. The total energy is -52.430 eV/atom.

(8)
DFT (meta-GGA SCAN) results for a PBEsol-optimized structure of RbBeHg2Se.

Cell lengths 6.326, 6.326, 6.155 Å; angles 90.00, 90.00, 90.00 degrees
Space group P4/mmm (No. 123)
Unique sites:
Rb 0.000 0.000 0.000 (multiplicity 1)
Be 0.000 0.000 0.500 (multiplicity 1)
Hg 0.000 0.500 0.000 (multiplicity 2)
Se 0.500 0.500 0.500 (multiplicity 1)

Calculated values
The total energy is -35.291 eV/atom. The value obtained for the uncorrected formation energy is 1010 meV/atom.